Run w
Compound: NdGaB
Source: the Open Quantum Materials Database
Functional: PBE
Structure: optimized geometry

Space-group type: F-43m (216)
Mass density: 6.19 g/cm3

Cell: 6.226 6.226 6.226 Å, 90.00 90.00 90.00°
Fractional coordinates of all 12 atoms:
Nd1 0.000 0.000 0.000
Nd2 0.000 0.500 0.500
Nd3 0.500 0.000 0.500
Nd4 0.500 0.500 0.000
Ga1 0.250 0.250 0.750
Ga2 0.250 0.750 0.250
Ga3 0.750 0.250 0.250
Ga4 0.750 0.750 0.750
B1 0.000 0.000 0.500
B2 0.000 0.500 0.000
B3 0.500 0.000 0.000
B4 0.500 0.500 0.500

=====

Run x
Compound: NdGaB
Source: the Open Quantum Materials Database
Functional: PBE
Structure: optimized geometry

Space-group type: F-43m (216)
Mass density: 6.67 g/cm3

Cell: 6.070 6.070 6.070 Å, 90.00 90.00 90.00°
Fractional coordinates of all 12 atoms:
Nd1 0.000 0.000 0.000
Nd2 0.000 0.500 0.500
Nd3 0.500 0.000 0.500
Nd4 0.500 0.500 0.000
Ga1 0.000 0.000 0.500
Ga2 0.000 0.500 0.000
Ga3 0.500 0.000 0.000
Ga4 0.500 0.500 0.500
B1 0.250 0.250 0.750
B2 0.250 0.750 0.250
B3 0.750 0.250 0.250
B4 0.750 0.750 0.750

=====

Verdict on stability: run w comes out at the bottom.